Entry 1:
Material: V13W3
Method: DFT, PBE
State: optimized geometry

The space-group type is Amm2. The calculation puts the formation energy at -0.585 kcal/mol of atoms. The density is 9.0 Mg/m³.

Cell lengths 6.082, 6.068, 6.068 Å; angles 89.49, 90.00, 90.00 degrees
Atoms (fractional coordinates):
V 0.000 0.000 0.000
V 0.000 0.001 0.506
V 0.000 0.506 0.001
V 0.000 0.507 0.507
V 0.248 0.254 0.752
V 0.248 0.751 0.751
V 0.248 0.752 0.254
V 0.500 0.000 0.505
V 0.500 0.505 0.000
V 0.500 0.506 0.506
V 0.752 0.254 0.752
V 0.752 0.751 0.751
V 0.752 0.752 0.254
W 0.248 0.255 0.255
W 0.500 0.999 0.999
W 0.752 0.255 0.255

***

Entry 2:
Material: V4W5
Method: DFT, PBE
State: optimized geometry

The space-group type is C2/m. The calculation puts the formation energy at -2.126 kcal/mol of atoms. The excess energy over the best structure of this formula in the dataset comes out at 0 meV/atom. The density is 13.9 Mg/m³.

Cell lengths 5.150, 5.150, 8.054 Å; angles 121.56, 121.56, 50.35 degrees
Atoms (fractional coordinates):
V 0.057 0.057 0.223
V 0.167 0.167 0.665
V 0.833 0.833 0.335
V 0.943 0.943 0.777
W 0.277 0.277 0.112
W 0.388 0.388 0.555
W 0.500 0.500 0.000
W 0.612 0.612 0.445
W 0.723 0.723 0.888

***

Entry 3:
Material: VW
Method: DFT, PBE
State: optimized geometry

The space-group type is P-1. The calculation puts the formation energy at -1.876 kcal/mol of atoms. The density is 13.2 Mg/m³.

Cell lengths 3.096, 4.341, 5.132 Å; angles 65.03, 72.55, 89.89 degrees
Atoms (fractional coordinates):
V 0.125 0.375 0.250
V 0.875 0.625 0.750
W 0.376 0.126 0.749
W 0.624 0.874 0.251

***

Entry 4:
Material: V4W5
Method: DFT, PBE
State: optimized geometry

The space-group type is I4/mmm. The calculation puts the formation energy at -1.913 kcal/mol of atoms. The excess energy over the best structure of this formula in the dataset comes out at 9 meV/atom. The density is 13.9 Mg/m³.

Cell lengths 6.753, 6.753, 6.753 Å; angles 93.04, 93.04, 153.38 degrees
Atoms (fractional coordinates):
V 0.166 0.166 0.333
V 0.166 0.834 0.000
V 0.834 0.166 0.000
V 0.834 0.834 0.667
W 0.170 0.500 0.670
W 0.500 0.170 0.670
W 0.500 0.500 0.000
W 0.500 0.830 0.330
W 0.830 0.500 0.330

***

Entry 5:
Material: YVW3
Method: DFT, PBE
State: optimized geometry

The space-group type is Pm-3m. The calculation puts the formation energy at 72.071 kcal/mol of atoms. The excess energy over the best structure of this formula in the dataset comes out at 1951 meV/atom. The density is 10.4 Mg/m³.

Cell lengths 4.796, 4.796, 4.796 Å; angles 90.00, 90.00, 90.00 degrees
Atoms (fractional coordinates):
Y 0.000 0.000 0.000
V 0.500 0.500 0.500
W 0.000 0.000 0.500
W 0.000 0.500 0.000
W 0.500 0.000 0.000

***

Entry 6:
Material: YVW3
Method: DFT, PBE
State: optimized geometry

The space-group type is Pm-3m. The calculation puts the formation energy at 27.070 kcal/mol of atoms. The excess energy over the best structure of this formula in the dataset comes out at 0 meV/atom. The density is 11.4 Mg/m³.

Cell lengths 4.657, 4.657, 4.657 Å; angles 90.00, 90.00, 90.00 degrees
Atoms (fractional coordinates):
Y 0.000 0.000 0.000
V 0.500 0.500 0.500
W 0.000 0.500 0.500
W 0.500 0.000 0.500
W 0.500 0.500 0.000